{
  "formula": "BaTa2Zn",
  "functional": "GGA-PBE",
  "state": "relaxed",
  "lattice": [[-1.981, 2.558, -1.341], [-2.344, -0.488, 2.532], [1.459, 4.852, 7.102]],
  "species": ["Ta", "Zn", "Ta", "Ba"],
  "frac_coords": [[0.000, 0.915, 0.086], [0.000, 0.572, 0.428], [0.500, 0.259, 0.242], [0.500, 0.754, 0.744]],
  "total_magnetization_mub_per_fu": 0.00,
  "e_tot_ev_per_cell": -25.24,
  "e_form_ev_per_fu": 1.7
}

{
  "formula": "BaTaZn2",
  "functional": "GGA-PBE",
  "state": "relaxed",
  "lattice": [[-5.456, -5.119, 2.070], [4.990, 0.483, 1.993], [-1.148, 0.548, 2.731]],
  "species": ["Zn", "Ba", "Ta", "Zn"],
  "frac_coords": [[0.500, 0.000, 0.500], [0.000, 0.500, 0.500], [0.500, 0.500, 0.000], [0.000, 0.000, 0.000]],
  "total_magnetization_mub_per_fu": 0.00,
  "e_above_lowest_polymorph_mev_per_atom": 280,
  "e_tot_ev_per_cell": -14.20,
  "e_form_ev_per_fu": 2.1
}

{
  "formula": "BaTaZn2",
  "functional": "GGA-PBE",
  "state": "relaxed",
  "lattice": [[4.293, 0.000, 0.000], [0.000, 3.235, 0.226], [0.000, 1.144, 7.012]],
  "species": ["Ta", "Ba", "Zn", "Zn"],
  "frac_coords": [[0.500, 0.751, 0.874], [0.000, 0.448, 0.478], [0.000, 0.206, 0.963], [0.500, 0.095, 0.185]],
  "total_magnetization_mub_per_fu": 0.00,
  "e_above_lowest_polymorph_mev_per_atom": 112,
  "e_tot_ev_per_cell": -14.86,
  "e_form_ev_per_fu": 1.5
}